[1]
Density functional theory data (PBE-GGA) for an optimized crystal structure of Mg3Ga2Au6.

The value obtained for the formation enthalpy at 0 K is -24 kJ/mol of atoms. As for the space-group type: No. 139.

Cell lengths 3.902, 3.902, 14.710 Å; angles 97.62, 97.62, 90.00 degrees
Fractional coordinates of all 11 atoms:
Mg: 0.000 0.000 0.000
Mg: 0.817 0.817 0.633
Mg: 0.183 0.183 0.367
Ga: 0.365 0.365 0.729
Ga: 0.635 0.635 0.271
Au: 0.072 0.572 0.144
Au: 0.572 0.072 0.144
Au: 0.928 0.428 0.856
Au: 0.428 0.928 0.856
Au: 0.723 0.723 0.445
Au: 0.277 0.277 0.555

***

[2]
Density functional theory data (PBE-GGA) for an optimized crystal structure of Mg2GaAu4.

The value obtained for the formation enthalpy at 0 K is -34 kJ/mol of atoms. As for the space-group type: No. 12.

Cell lengths 4.572, 4.572, 7.516 Å; angles 79.22, 79.22, 61.62 degrees
Fractional coordinates of all 7 atoms:
Mg: 0.730 0.730 0.725
Mg: 0.270 0.270 0.275
Ga: 0.000 0.000 0.000
Au: 0.911 0.911 0.359
Au: 0.089 0.089 0.641
Au: 0.638 0.638 0.126
Au: 0.362 0.362 0.874

***

[3]
Density functional theory data (PBE-GGA) for an optimized crystal structure of MgGaAu2.

The value obtained for the formation enthalpy at 0 K is -5 kJ/mol of atoms. As for the space-group type: No. 122.

Cell lengths 6.037, 6.037, 7.305 Å; angles 65.60, 65.60, 90.00 degrees
Fractional coordinates of all 8 atoms:
Mg: 0.500 0.500 0.000
Mg: 0.250 0.750 0.500
Au: 0.643 0.125 0.250
Au: 0.107 0.625 0.250
Au: 0.375 0.357 0.750
Au: 0.875 0.893 0.750
Ga: 0.000 0.000 0.000
Ga: 0.750 0.250 0.500

***

[4]
Density functional theory data (PBE-GGA) for an optimized crystal structure of Mg3GaAu.

The value obtained for the formation enthalpy at 0 K is -4 kJ/mol of atoms. As for the space-group type: No. 221.

Cell lengths 5.100, 5.100, 5.100 Å; angles 90.00, 90.00, 90.00 degrees
Fractional coordinates of all 5 atoms:
Mg: 0.000 0.500 0.000
Mg: 0.000 0.000 0.500
Mg: 0.500 0.000 0.000
Au: 0.000 0.000 0.000
Ga: 0.500 0.500 0.500

***

[5]
Density functional theory data (PBE-GGA) for an optimized crystal structure of Mg2Ga2Au.

The value obtained for the formation enthalpy at 0 K is -9 kJ/mol of atoms. As for the space-group type: No. 127.

Cell lengths 7.071, 7.071, 4.110 Å; angles 90.00, 90.00, 90.00 degrees
Fractional coordinates of all 10 atoms:
Mg: 0.346 0.846 0.000
Mg: 0.846 0.654 0.000
Mg: 0.654 0.154 0.000
Mg: 0.154 0.346 0.000
Au: 0.000 0.000 0.000
Au: 0.500 0.500 0.000
Ga: 0.148 0.648 0.500
Ga: 0.648 0.852 0.500
Ga: 0.852 0.352 0.500
Ga: 0.352 0.148 0.500

***

[6]
Density functional theory data (PBE-GGA) for an optimized crystal structure of MgGa3Au2.

The value obtained for the formation enthalpy at 0 K is -28 kJ/mol of atoms. As for the space-group type: No. 12.

Cell lengths 4.030, 8.126, 8.126 Å; angles 63.49, 75.20, 75.20 degrees
Fractional coordinates of all 12 atoms:
Mg: 0.879 0.119 0.119
Mg: 0.121 0.881 0.881
Ga: 0.322 0.477 0.883
Ga: 0.000 0.356 0.644
Ga: 0.678 0.117 0.523
Ga: 0.322 0.883 0.477
Ga: 0.000 0.644 0.356
Ga: 0.678 0.523 0.117
Au: 0.500 0.166 0.834
Au: 0.500 0.834 0.166
Au: 0.780 0.722 0.722
Au: 0.220 0.278 0.278

***

[7]
Density functional theory data (PBE-GGA) for an optimized crystal structure of Mg3GaAu3.

The value obtained for the formation enthalpy at 0 K is -40 kJ/mol of atoms. As for the space-group type: No. 160.

Cell lengths 5.603, 5.724, 5.603 Å; angles 109.91, 109.03, 109.91 degrees
Fractional coordinates of all 7 atoms:
Mg: 0.500 0.004 0.000
Mg: 0.500 0.504 0.500
Mg: 0.000 0.004 0.500
Ga: 0.000 0.503 0.000
Au: 0.500 0.504 0.000
Au: 0.500 0.004 0.500
Au: 0.000 0.504 0.500

***

[8]
Density functional theory data (PBE-GGA) for an optimized crystal structure of MgGaAu.

The value obtained for the formation enthalpy at 0 K is -33 kJ/mol of atoms. As for the space-group type: No. 107.

Cell lengths 3.593, 3.593, 4.912 Å; angles 111.45, 111.45, 90.00 degrees
Fractional coordinates of all 3 atoms:
Mg: 0.287 0.287 0.574
Au: 0.950 0.950 0.901
Ga: 0.612 0.612 0.225

***

[9]
Density functional theory data (PBE-GGA) for an optimized crystal structure of MgGaAu2.

The value obtained for the formation enthalpy at 0 K is -36 kJ/mol of atoms. As for the space-group type: No. 123.

Cell lengths 3.623, 4.420, 4.420 Å; angles 90.00, 90.00, 90.00 degrees
Fractional coordinates of all 4 atoms:
Mg: 0.500 0.500 0.500
Au: 0.000 0.000 0.500
Au: 0.000 0.500 0.000
Ga: 0.500 0.000 0.000

***

[10]
Density functional theory data (PBE-GGA) for an optimized crystal structure of Mg2GaAu2.

The value obtained for the formation enthalpy at 0 K is -38 kJ/mol of atoms. As for the space-group type: No. 72.

Cell lengths 5.104, 7.068, 7.002 Å; angles 120.31, 111.38, 90.00 degrees
Fractional coordinates of all 10 atoms:
Mg: 0.809 0.652 0.619
Mg: 0.191 0.348 0.381
Mg: 0.691 0.033 0.381
Mg: 0.309 0.967 0.619
Ga: 0.750 0.500 0.000
Ga: 0.250 0.500 0.000
Au: 0.417 0.730 0.834
Au: 0.583 0.270 0.166
Au: 0.083 0.897 0.166
Au: 0.917 0.103 0.834

***

[11]
Density functional theory data (PBE-GGA) for an optimized crystal structure of Mg4GaAu5.

The value obtained for the formation enthalpy at 0 K is -50 kJ/mol of atoms. As for the space-group type: No. 123.

Cell lengths 3.368, 3.368, 15.886 Å; angles 90.00, 90.00, 90.00 degrees
Fractional coordinates of all 10 atoms:
Mg: 0.000 0.000 0.198
Mg: 0.000 0.000 0.399
Mg: 0.000 0.000 0.601
Mg: 0.000 0.000 0.802
Ga: 0.000 0.000 0.000
Au: 0.500 0.500 0.100
Au: 0.500 0.500 0.299
Au: 0.500 0.500 0.500
Au: 0.500 0.500 0.701
Au: 0.500 0.500 0.900

***

[12]
Density functional theory data (PBE-GGA) for an optimized crystal structure of Mg2GaAu2.

The value obtained for the formation enthalpy at 0 K is -32 kJ/mol of atoms. As for the space-group type: No. 127.

Cell lengths 8.023, 8.023, 3.025 Å; angles 90.00, 90.00, 90.00 degrees
Fractional coordinates of all 10 atoms:
Mg: 0.360 0.860 0.000
Mg: 0.860 0.640 0.000
Mg: 0.640 0.140 0.000
Mg: 0.140 0.360 0.000
Au: 0.155 0.655 0.500
Au: 0.655 0.845 0.500
Au: 0.845 0.345 0.500
Au: 0.345 0.155 0.500
Ga: 0.000 0.000 0.000
Ga: 0.500 0.500 0.000

***

[13]
Density functional theory data (PBE-GGA) for an optimized crystal structure of Mg3GaAu3.

The value obtained for the formation enthalpy at 0 K is -38 kJ/mol of atoms. As for the space-group type: No. 12.

Cell lengths 6.200, 6.200, 7.391 Å; angles 92.75, 92.75, 105.84 degrees
Fractional coordinates of all 14 atoms:
Mg: 0.632 0.632 0.357
Mg: 0.163 0.837 0.500
Mg: 0.837 0.163 0.500
Mg: 0.238 0.762 0.000
Mg: 0.762 0.238 0.000
Mg: 0.368 0.368 0.643
Ga: 0.678 0.678 0.966
Ga: 0.322 0.322 0.034
Au: 0.954 0.954 0.197
Au: 0.874 0.538 0.700
Au: 0.538 0.874 0.700
Au: 0.126 0.462 0.300
Au: 0.462 0.126 0.300
Au: 0.046 0.046 0.803

***

[14]
Density functional theory data (PBE-GGA) for an optimized crystal structure of MgGaAu2.

The value obtained for the formation enthalpy at 0 K is -37 kJ/mol of atoms. As for the space-group type: No. 62.

Cell lengths 6.382, 7.314, 6.362 Å; angles 90.00, 90.00, 90.00 degrees
Fractional coordinates of all 16 atoms:
Mg: 0.299 0.250 0.022
Mg: 0.799 0.750 0.478
Mg: 0.701 0.750 0.978
Mg: 0.201 0.250 0.522
Ga: 0.640 0.250 0.375
Ga: 0.140 0.750 0.125
Ga: 0.360 0.750 0.625
Ga: 0.860 0.250 0.875
Au: 0.951 0.049 0.237
Au: 0.451 0.951 0.263
Au: 0.049 0.549 0.763
Au: 0.549 0.451 0.737
Au: 0.049 0.951 0.763
Au: 0.549 0.049 0.737
Au: 0.951 0.451 0.237
Au: 0.451 0.549 0.263

***

[15]
Density functional theory data (PBE-GGA) for an optimized crystal structure of Mg3GaAu2.

The value obtained for the formation enthalpy at 0 K is -41 kJ/mol of atoms. As for the space-group type: No. 12.

Cell lengths 4.034, 4.008, 7.789 Å; angles 104.49, 104.97, 90.05 degrees
Fractional coordinates of all 6 atoms:
Mg: 0.500 0.500 0.000
Mg: 0.820 0.322 0.640
Mg: 0.180 0.678 0.360
Ga: 0.000 0.000 0.000
Au: 0.369 0.869 0.735
Au: 0.631 0.131 0.265

***

[16]
Density functional theory data (PBE-GGA) for an optimized crystal structure of Mg6GaAu.

The value obtained for the formation enthalpy at 0 K is -18 kJ/mol of atoms. As for the space-group type: No. 139.

Cell lengths 4.999, 4.999, 7.432 Å; angles 70.35, 70.35, 90.00 degrees
Fractional coordinates of all 8 atoms:
Mg: 0.753 0.753 0.493
Mg: 0.614 0.114 0.772
Mg: 0.114 0.614 0.772
Mg: 0.386 0.886 0.228
Mg: 0.247 0.247 0.507
Mg: 0.886 0.386 0.228
Ga: 0.500 0.500 0.000
Au: 0.000 0.000 0.000

***

[17]
Density functional theory data (PBE-GGA) for an optimized crystal structure of Mg8Ga2Au.

The value obtained for the formation enthalpy at 0 K is -19 kJ/mol of atoms. As for the space-group type: No. 12.

Cell lengths 4.656, 6.729, 8.183 Å; angles 111.62, 106.53, 90.00 degrees
Fractional coordinates of all 11 atoms:
Mg: 0.401 0.559 0.802
Mg: 0.665 0.934 0.330
Mg: 0.811 0.731 0.622
Mg: 0.978 0.215 0.955
Mg: 0.189 0.269 0.378
Mg: 0.335 0.066 0.670
Mg: 0.599 0.441 0.198
Mg: 0.022 0.785 0.045
Ga: 0.820 0.322 0.639
Ga: 0.180 0.678 0.361
Au: 0.500 0.000 0.000

***

[18]
Density functional theory data (PBE-GGA) for an optimized crystal structure of MgGa2Au2.

The value obtained for the formation enthalpy at 0 K is -26 kJ/mol of atoms. As for the space-group type: No. 12.

Cell lengths 4.709, 4.709, 4.972 Å; angles 102.89, 102.89, 102.78 degrees
Fractional coordinates of all 5 atoms:
Mg: 0.000 0.000 0.500
Ga: 0.594 0.594 0.774
Ga: 0.406 0.406 0.226
Au: 0.803 0.197 0.000
Au: 0.197 0.803 0.000

***

[19]
Density functional theory data (PBE-GGA) for an optimized crystal structure of MgGa2Au8.

The value obtained for the formation enthalpy at 0 K is -21 kJ/mol of atoms. As for the space-group type: No. 12.

Cell lengths 4.136, 6.657, 7.835 Å; angles 109.16, 105.30, 90.00 degrees
Fractional coordinates of all 11 atoms:
Mg: 0.500 0.000 0.000
Ga: 0.789 0.342 0.577
Ga: 0.211 0.658 0.423
Au: 0.405 0.538 0.810
Au: 0.677 0.932 0.353
Au: 0.849 0.777 0.698
Au: 0.960 0.254 0.919
Au: 0.151 0.223 0.302
Au: 0.323 0.068 0.647
Au: 0.595 0.462 0.190
Au: 0.040 0.746 0.081

***

[20]
Density functional theory data (PBE-GGA) for an optimized crystal structure of MgGa2Au2.

The value obtained for the formation enthalpy at 0 K is -34 kJ/mol of atoms. As for the space-group type: No. 59.

Cell lengths 4.523, 4.416, 9.617 Å; angles 90.02, 90.00, 90.00 degrees
Fractional coordinates of all 10 atoms:
Mg: 0.750 0.250 0.684
Mg: 0.250 0.750 0.316
Ga: 0.750 0.250 0.999
Ga: 0.250 0.750 0.682
Ga: 0.250 0.750 0.001
Ga: 0.750 0.250 0.318
Au: 0.250 0.250 0.484
Au: 0.750 0.750 0.155
Au: 0.250 0.250 0.845
Au: 0.750 0.750 0.516